(1)
Compound: RbSr2In
Source: Alexandria via LeMat-Bulk
Functional: GGA-PBE
Structure: optimized geometry

Geometry as CIF:
```
data_RbSr2In
_symmetry_space_group_name_H-M 'P 4/m m m'
_symmetry_Int_Tables_number 123
_symmetry_space_group_name_Hall '-P 4 2'
_cell_length_a 4.1717
_cell_length_b 4.1717
_cell_length_c 11.5103
_cell_angle_alpha 90.00
_cell_angle_beta 90.00
_cell_angle_gamma 90.00
loop_
_atom_site_label
_atom_site_type_symbol
_atom_site_fract_x
_atom_site_fract_y
_atom_site_fract_z
Rb1 Rb 0.0000 0.0000 0.0000
Sr1 Sr 0.5000 0.5000 0.3341
In1 In 0.0000 0.0000 0.5000
```

Results
VASP energy = -1.929 eV/atom
Formation enthalpy at 0 K = -161.6 meV per atom

=====

(2)
Compound: K2GeS6O21
Source: Alexandria via LeMat-Bulk
Functional: GGA-PBE
Structure: optimized geometry

Geometry as CIF:
```
data_K2GeS6O21
_symmetry_space_group_name_H-M 'P -3'
_symmetry_Int_Tables_number 147
_cell_length_a 9.8078
_cell_length_b 9.8078
_cell_length_c 11.1745
_cell_angle_alpha 90.00
_cell_angle_beta 90.00
_cell_angle_gamma 120.00
loop_
_symmetry_equiv_pos_as_xyz
'x,y,z'
'-x,-y,-z'
'-y,x-y,z'
'y,-x+y,-z'
'-x+y,-x,z'
'x-y,x,-z'
loop_
_atom_site_label
_atom_site_type_symbol
_atom_site_fract_x
_atom_site_fract_y
_atom_site_fract_z
K1 K 0.3333 0.6667 0.0563
K2 K 0.3333 0.6667 0.6246
Ge1 Ge 0.0000 0.0000 0.2575
S1 S 0.0660 0.3331 0.8376
S2 S 0.1683 0.8205 0.3462
O1 O 0.0001 0.3317 0.7005
O2 O 0.0332 0.6495 0.0770
O3 O 0.0489 0.1707 0.8498
O4 O 0.0511 0.1747 0.3603
O5 O 0.1427 0.4270 0.2549
O6 O 0.1881 0.7712 0.4622
O7 O 0.2274 0.4559 0.8281
```

Results
Energy relative to the elements, uncorrected = -1.39 eV/atom
VASP energy = -5.916 eV/atom